(1)
An optimized crystal structure of Na2GaPb. Source: the Alexandria database, functional PBE.

Unit cell a=3.6255 b=3.6255 c=7.9165 alpha=90.00 beta=90.00 gamma=90.00
Fractional coordinates of all 4 atoms:
Pb  0.5000  0.5000  0.5000
Na  0.0000  0.0000  0.7681
Na  0.0000  0.0000  0.2319
Ga  0.5000  0.5000  0.0000

Properties
N(E_F) = 1.88 states/eV per cell
Energy = -9.49 eV per formula unit
E_form = -0.029 eV per atom

(2)
An optimized crystal structure of Na2GaPb2. Source: the Alexandria database, functional PBE.

Unit cell a=5.7621 b=6.6979 c=8.6529 alpha=112.77 beta=109.45 gamma=90.00
Fractional coordinates of all 10 atoms:
Na  0.8986  0.7602  0.7972
Na  0.1014  0.2398  0.2028
Na  0.6014  0.9630  0.2028
Na  0.3986  0.0370  0.7972
Ga  0.7500  0.5000  0.0000
Ga  0.2500  0.5000  0.0000
Pb  0.3284  0.4686  0.6567
Pb  0.6716  0.5314  0.3433
Pb  0.1716  0.8119  0.3433
Pb  0.8284  0.1881  0.6567

Properties
N(E_F) = 4.42 states/eV per cell
Energy = -13.32 eV per formula unit
E_form = -0.048 eV per atom